Entry 1:
A relaxed structure of Th4PaC5. Source: Alexandria via LeMat-Bulk, functional PBE.

```
Th4PaC5
1.0
-4.911 -1.902 -0.499
-2.563 -2.196 5.551
-4.659 4.445 0.867
Th C Pa
4 5 1
direct
0.400 0.400 0.802 Th
0.602 0.600 0.198 Th
0.202 0.198 0.400 Th
0.800 0.802 0.600 Th
0.720 0.186 0.376 C
0.096 0.624 0.186 C
0.906 0.376 0.814 C
0.500 0.000 0.000 C
0.282 0.814 0.624 C
0.001 0.000 0.000 Pa
```

## Properties
- DFT formation energy (eV/f.u.) = -3.14
- E_tot (eV per cell) = -88.43
- symmetry = No. 79
- calculated volume (A^3/atom) = 18.6

Entry 2:
A relaxed structure of Sc3Sb. Source: Alexandria via LeMat-Bulk, functional PBE.

```
Sc3Sb
1.0
3.870 0.000 0.000
0.000 3.870 0.000
0.000 0.000 6.243
Sb Sc
1 3
direct
0.000 0.000 0.000 Sb
0.500 0.500 0.244 Sc
0.500 0.500 0.756 Sc
0.000 0.000 0.500 Sc
```

## Properties
- E_tot (eV per cell) = -25.01
- symmetry = No. 123
- calculated volume (A^3/atom) = 23.4
- energy above the most stable polymorph in this dataset (meV/atom) = 75
- formation energy from raw total energies (eV/atom) = -0.474

Entry 3:
A relaxed structure of Ba2CoNi. Source: Alexandria via LeMat-Bulk, functional PBE.

```
Ba2CoNi
1.0
3.845 0.000 0.000
0.000 3.838 0.079
0.000 3.691 7.672
Ba Ni Co
2 1 1
direct
0.000 0.495 0.505 Ba
0.000 0.005 0.995 Ba
0.500 0.750 0.750 Ni
0.500 0.250 0.250 Co
```

## Properties
- DFT formation energy (eV/f.u.) = 2.03
- E_tot (eV per cell) = -14.71
- symmetry = No. 10
- calculated volume (A^3/atom) = 28.0
- energy above the most stable polymorph in this dataset (meV/atom) = 307

What is the calculated volume in the third record? 28.0 A^3/atom

Please write out number 1 again, unchanged.
A relaxed structure of Th4PaC5. Source: Alexandria via LeMat-Bulk, functional PBE.

```
Th4PaC5
1.0
-4.911 -1.902 -0.499
-2.563 -2.196 5.551
-4.659 4.445 0.867
Th C Pa
4 5 1
direct
0.400 0.400 0.802 Th
0.602 0.600 0.198 Th
0.202 0.198 0.400 Th
0.800 0.802 0.600 Th
0.720 0.186 0.376 C
0.096 0.624 0.186 C
0.906 0.376 0.814 C
0.500 0.000 0.000 C
0.282 0.814 0.624 C
0.001 0.000 0.000 Pa
```

## Properties
- DFT formation energy (eV/f.u.) = -3.14
- E_tot (eV per cell) = -88.43
- symmetry = No. 79
- calculated volume (A^3/atom) = 18.6

Please write out number 3 again, unchanged.
A relaxed structure of Ba2CoNi. Source: Alexandria via LeMat-Bulk, functional PBE.

```
Ba2CoNi
1.0
3.845 0.000 0.000
0.000 3.838 0.079
0.000 3.691 7.672
Ba Ni Co
2 1 1
direct
0.000 0.495 0.505 Ba
0.000 0.005 0.995 Ba
0.500 0.750 0.750 Ni
0.500 0.250 0.250 Co
```

## Properties
- DFT formation energy (eV/f.u.) = 2.03
- E_tot (eV per cell) = -14.71
- symmetry = No. 10
- calculated volume (A^3/atom) = 28.0
- energy above the most stable polymorph in this dataset (meV/atom) = 307